PmDy4Ho4 | PBE-GGA | relaxed Values from VASP.

Structure (Quantum ESPRESSO input):
```
&SYSTEM
  ibrav = 0, nat = 18, ntyp = 3
/
ATOMIC_SPECIES
Pm 145.00 Pm.upf
Dy 162.50 Dy.upf
Ho 164.93 Ho.upf
CELL_PARAMETERS angstrom
6.744 0.000 0.000
2.039 8.379 0.000
2.770 1.570 10.130
ATOMIC_POSITIONS angstrom
Pm 3.184 4.292 2.174
Pm 8.369 5.657 7.956
Dy 2.195 2.089 4.662
Dy 6.026 7.968 6.386
Dy 6.983 8.524 9.747
Dy 5.155 7.467 3.009
Dy 6.398 2.482 7.120
Dy 4.570 1.425 0.382
Dy 5.527 1.981 3.744
Dy 9.358 7.860 5.468
Ho 3.087 2.645 8.023
Ho 1.247 1.562 1.258
Ho 4.135 4.870 5.533
Ho 5.066 5.384 8.913
Ho 6.487 4.565 1.216
Ho 7.418 5.079 4.597
Ho 10.306 8.387 8.872
Ho 8.466 7.304 2.107
```

M_tot   0.00 μB per formula unit
E above lowest polymorph   1.9 kJ/mol of atoms
Calculated formation energy   0.04 eV per atom
E_tot   -4.569 eV per atom
DOS at the Fermi energy   32.81 states/eV/cell

---

Zr2AlInAu | PBE-GGA | relaxed Values from VASP.

Structure (Quantum ESPRESSO input):
```
&SYSTEM
  ibrav = 0, nat = 5, ntyp = 4
/
ATOMIC_SPECIES
Zr 91.22 Zr.upf
Al 26.98 Al.upf
In 114.82 In.upf
Au 196.97 Au.upf
CELL_PARAMETERS angstrom
5.225 0.000 0.000
0.000 5.225 0.000
0.000 0.000 5.020
ATOMIC_POSITIONS angstrom
Zr 0.000 2.612 0.000
Zr 2.612 0.000 0.000
Al 0.000 0.000 2.510
In 2.612 2.612 2.510
Au 2.612 2.612 0.000
```

M_tot   0.00 μB per formula unit
Calculated formation energy   0.56 eV per atom
E_tot   -4.809 eV per atom
DOS at the Fermi energy   2.93 states/eV/cell